Record 1
The following is a DFT calculation (SCAN) of a PBEsol-optimized structure of LaCdBi2Te.

a = 5.3187 Å, b = 5.8272 Å, c = 5.8272 Å
α = 90.00°, β = 90.00°, γ = 90.00°
Positions (direct):
Te1 0.0000 0.0000 0.0000
Bi1 0.0000 0.5000 0.0000
Bi2 0.0000 0.0000 0.5000
La1 0.5000 0.5000 0.5000
Cd1 0.5000 0.0000 0.0000

Computed properties:
calculated volume = 180.6 Å³/cell
ρ = 7.327 g/cm³
space group = P4/mmm, No. 123
uncorrected energy = -267.2 eV/f.u.



Record 2
The following is a DFT calculation (SCAN) of a PBEsol-optimized structure of LaY2CdBi.

a = 5.4705 Å, b = 5.7607 Å, c = 5.7607 Å
α = 90.00°, β = 90.00°, γ = 90.00°
Positions (direct):
Cd1 0.5000 0.0000 0.0000
Y1 0.0000 0.5000 0.0000
Y2 0.0000 0.0000 0.5000
La1 0.5000 0.5000 0.5000
Bi1 0.0000 0.0000 0.0000

Computed properties:
calculated volume = 181.5 Å³/cell
ρ = 5.837 g/cm³
space group = P4/mmm, No. 123
uncorrected energy = -207.0 eV/f.u.



Record 3
The following is a DFT calculation (SCAN) of a PBEsol-optimized structure of Li2CdBi2.

a = 3.2109 Å, b = 8.5926 Å, c = 8.5926 Å
α = 90.00°, β = 90.00°, γ = 90.00°
Positions (direct):
Bi1 0.0000 0.8217 0.6783
Bi2 0.0000 0.3217 0.8217
Bi3 0.0000 0.1783 0.3217
Bi4 0.0000 0.6783 0.1783
Cd1 0.0000 0.0000 0.0000
Cd2 0.0000 0.5000 0.5000
Li1 0.5000 0.8802 0.3802
Li2 0.5000 0.6198 0.8802
Li3 0.5000 0.1198 0.6198
Li4 0.5000 0.3802 0.1198

Computed properties:
calculated volume = 237.1 Å³/cell
ρ = 7.624 g/cm³
space group = P4/mbm, No. 127
uncorrected energy = -193.6 eV/f.u.